Record 1
SrIn2Au4 after structural relaxation. Source: Alexandria, functional GGA-PBE.

Output
Its calculated formation energy is -421.2 meV/atom.

Lattice parameters (Å, degrees): 19.072 5.010 6.757 90.00 90.00 90.00
Space group Pnma (No. 62)
Inequivalent atoms, fractional coordinates:
Sr  0.137  0.250  0.059 x4
In  0.031  0.750  0.685 x4
In  0.237  0.250  0.604 x4
Au  0.023  0.750  0.109 x4
Au  0.090  0.250  0.566 x4
Au  0.142  0.750  0.363 x4
Au  0.191  0.750  0.754 x4

Record 2
BaMoW2 after structural relaxation. Source: Alexandria, functional GGA-PBE.

Output
Its calculated formation energy is 847.5 meV/atom.

Lattice parameters (Å, degrees): 3.198 3.198 8.461 90.00 90.00 90.00
Space group P4mm (No. 99)
Inequivalent atoms, fractional coordinates:
Ba  0.000  0.000  0.000 x1
Mo  0.500  0.500  0.327 x1
W  0.000  0.000  0.501 x1
W  0.500  0.500  0.677 x1

Record 3
Na2CdSi2Pd5 after structural relaxation. Source: Alexandria, functional GGA-PBE.

Output
As for the formation energy from raw total energies: -0.472 eV/atom.

Lattice parameters (Å, degrees): 10.303 10.303 3.266 90.00 90.00 90.00
Space group P4/mbm (No. 127)
Inequivalent atoms, fractional coordinates:
Na  0.175  0.325  0.000 x4
Cd  0.000  0.000  0.000 x2
Si  0.126  0.626  0.000 x4
Pd  0.000  0.500  0.500 x2
Pd  0.067  0.785  0.500 x8

Number 1: final energy -3.32 eV/atom, Fermi-level density of states 2.42 states/eV/f.u.. Number 2: final energy -8.82 eV/atom, Fermi-level density of states 5.62 states/eV/f.u.. Number 3: final energy -4.51 eV/atom, Fermi-level density of states 2.86 states/eV/f.u..